Record 1
Compound: Nd8NiS3Br4
Source: Alexandria
Functional: PBE-GGA
Structure: relaxed

Cell and atoms, written as extended XYZ:
```
16
Lattice="8.213 0.000 0.000 0.000 8.754 0.380 -4.106 -4.105 5.809" Properties=species:S:1:pos:R:3 pbc="T T T"
Nd -2.106 2.152 5.912
Nd 0.000 4.256 2.934
Nd 0.000 0.441 3.214
Nd 2.106 2.152 5.912
Nd 2.001 2.498 0.277
Nd 4.106 4.209 2.974
Nd 4.106 0.393 3.255
Nd 6.212 2.498 0.277
Ni 0.000 4.377 0.190
S 4.106 4.377 0.190
S 2.053 2.325 3.094
S -2.053 2.325 3.094
Br 4.106 0.000 0.000
Br 2.053 -2.052 2.904
Br 0.000 0.000 0.000
Br -2.053 -2.052 2.904
```

Computed properties:
* formation energy (no corrections): -1.3982 eV per atom
* electronic total energy: -85.37 eV for the cell shown

Record 2
Compound: Nd4NiSeBr2
Source: Alexandria
Functional: PBE-GGA
Structure: relaxed

Cell and atoms, written as extended XYZ:
```
8
Lattice="4.051 0.000 0.000 0.000 7.498 0.232 0.000 -2.516 7.297" Properties=species:S:1:pos:R:3 pbc="T T T"
Nd 2.026 1.068 1.527
Nd 2.026 3.914 6.003
Nd 0.000 -0.087 5.802
Nd 0.000 5.069 1.728
Ni 0.000 0.000 0.000
Se 2.026 3.749 0.116
Br 2.026 -1.258 3.649
Br 0.000 2.491 3.765
```

Computed properties:
* formation energy (no corrections): -1.1557 eV per atom
* electronic total energy: -40.93 eV for the cell shown

Record 3
Compound: Nd6Si2NiBr3
Source: Alexandria
Functional: PBE-GGA
Structure: relaxed

Cell and atoms, written as extended XYZ:
```
12
Lattice="4.161 0.000 0.000 0.000 8.949 0.175 -2.081 -2.725 9.122" Properties=species:S:1:pos:R:3 pbc="T T T"
Nd 0.000 6.162 6.435
Nd 2.081 4.089 3.287
Nd 2.081 0.062 2.863
Nd 0.000 1.886 0.153
Nd 2.081 4.338 9.145
Nd 0.000 2.134 6.011
Si 2.081 4.137 6.216
Si 0.000 2.087 3.082
Ni 2.081 0.000 0.000
Br 2.081 4.474 0.088
Br 2.081 -0.299 6.037
Br 0.000 6.522 3.261
```

Computed properties:
* formation energy (no corrections): -0.9544 eV per atom
* electronic total energy: -61.71 eV for the cell shown

Record 4
Compound: TbNdNiBr
Source: Alexandria
Functional: PBE-GGA
Structure: relaxed

Cell and atoms, written as extended XYZ:
```
4
Lattice="-1.149 0.818 3.742 0.034 -3.782 -1.299 8.043 -0.045 0.341" Properties=species:S:1:pos:R:3 pbc="T T T"
Tb 0.403 -3.504 -0.844
Nd 4.867 -0.191 1.939
Ni 6.704 -1.875 0.733
Br 1.780 -0.663 3.232
```

Computed properties:
* formation energy (no corrections): -0.7979 eV per atom
* electronic total energy: -20.04 eV for the cell shown

Record 5
Compound: Nd3NiTeBr
Source: Alexandria
Functional: PBE-GGA
Structure: relaxed

Cell and atoms, written as extended XYZ:
```
12
Lattice="-2.922 2.703 -0.614 -5.146 -5.143 1.852 4.531 7.077 9.590" Properties=species:S:1:pos:R:3 pbc="T T T"
Nd -2.091 0.580 5.904
Nd -6.148 -1.626 2.288
Nd -3.606 1.050 1.975
Nd -1.445 4.056 4.923
Nd 0.070 3.586 8.853
Nd 2.611 6.262 8.539
Ni -3.357 -1.813 1.392
Ni -0.179 6.450 9.436
Te -2.914 3.089 7.653
Te -0.623 1.547 3.174
Br 1.319 4.340 6.221
Br -4.856 0.297 4.607
```

Computed properties:
* formation energy (no corrections): -0.9334 eV per atom
* electronic total energy: -61.00 eV for the cell shown

Record 6
Compound: Nd6TlNi2Br3
Source: Alexandria
Functional: PBE-GGA
Structure: relaxed

Cell and atoms, written as extended XYZ:
```
12
Lattice="4.060 0.000 0.000 0.000 9.258 0.115 -2.030 -2.903 9.344" Properties=species:S:1:pos:R:3 pbc="T T T"
Nd 0.000 6.058 6.323
Nd 2.030 4.121 3.414
Nd 2.030 0.296 3.136
Nd 0.000 2.349 0.377
Nd 2.030 4.006 9.082
Nd 0.000 2.234 6.046
Tl 2.030 0.000 0.000
Ni 2.030 4.142 6.260
Ni 0.000 2.213 3.199
Br 2.030 4.629 0.057
Br 2.030 -0.438 6.297
Br 0.000 6.793 3.162
```

Computed properties:
* formation energy (no corrections): -0.7540 eV per atom
* electronic total energy: -56.60 eV for the cell shown

- Which of these has the lowest formation energy (no corrections)?
  Nd8NiS3Br4

- What is the formula in the sixth record?
  Nd6TlNi2Br3

- Number 3 is which compound?
  Nd6Si2NiBr3